# 1
This record from the Alexandria database describes crystalline TaTc2Se at its relaxed geometry. The functional is PBE.

Summary:
- Energy relative to the elements, uncorrected: 5.2 kJ per mole of atoms

The structure in CIF format:
```
data_TaTc2Se
_chemical_formula_sum 'Ta1 Tc2 Se1'
_cell_length_a 2.9736
_cell_length_b 4.1821
_cell_length_c 5.2625
_cell_angle_alpha 90.00
_cell_angle_beta 103.61
_cell_angle_gamma 90.00
_space_group_name_H-M_alt 'P 1 m 1'
_space_group_IT_number 6
_space_group_name_Hall 'P -2y'
loop_
_atom_site_label
_atom_site_type_symbol
_atom_site_fract_x
_atom_site_fract_y
_atom_site_fract_z
_atom_site_occupancy
Ta1 Ta 0.0000 0.0000 0.0000 1
Tc1 Tc 0.3687 0.0000 0.4959 1
Tc2 Tc 0.7163 0.5000 0.2656 1
Se1 Se 0.4161 0.5000 0.7712 1
```

# 2
This record from the Alexandria database describes crystalline Sr3Cr at its relaxed geometry. The functional is PBE.

Summary:
- Energy relative to the elements: 0.500 eV per atom

The structure in CIF format:
```
data_Sr3Cr
_chemical_formula_sum 'Sr3 Cr1'
_cell_length_a 4.2003
_cell_length_b 4.2003
_cell_length_c 11.9137
_cell_angle_alpha 90.00
_cell_angle_beta 90.00
_cell_angle_gamma 120.00
_space_group_name_H-M_alt 'P -6 m 2'
_space_group_IT_number 187
_space_group_name_Hall 'P -6 2'
loop_
_atom_site_label
_atom_site_type_symbol
_atom_site_fract_x
_atom_site_fract_y
_atom_site_fract_z
_atom_site_occupancy
Sr1 Sr 0.0000 0.0000 0.0000 1
Sr2 Sr 0.6667 0.3333 0.2993 1
Cr1 Cr 0.0000 0.0000 0.5000 1
```

# 3
This record from the Alexandria database describes crystalline ErSi3NiIr at its relaxed geometry. The functional is PBE.

Summary:
- Energy relative to the elements, uncorrected: -45.8 kJ per mole of atoms

The structure in CIF format:
```
data_ErSi3NiIr
_chemical_formula_sum 'Er4 Si12 Ni4 Ir4'
_cell_length_a 6.1534
_cell_length_b 13.0257
_cell_length_c 5.4522
_cell_angle_alpha 90.00
_cell_angle_beta 90.00
_cell_angle_gamma 90.00
_space_group_name_H-M_alt 'C m c m'
_space_group_IT_number 63
_space_group_name_Hall '-C 2c 2'
loop_
_atom_site_label
_atom_site_type_symbol
_atom_site_fract_x
_atom_site_fract_y
_atom_site_fract_z
_atom_site_occupancy
Er1 Er 0.0000 0.1874 0.2500 1
Si1 Si 0.0000 0.2136 0.7500 1
Si2 Si 0.2148 0.5000 0.0000 1
Ni1 Ni 0.0000 0.0470 0.7500 1
Ir1 Ir 0.0000 0.3867 0.7500 1
```

# 4
This record from the Alexandria database describes crystalline ZrAlSe3 at its relaxed geometry. The functional is PBE.

Summary:
- Energy relative to the elements, uncorrected: -18.8 kJ per mole of atoms

The structure in CIF format:
```
data_ZrAlSe3
_chemical_formula_sum 'Zr1 Al1 Se3'
_cell_length_a 4.8278
_cell_length_b 4.8278
_cell_length_c 4.8278
_cell_angle_alpha 90.00
_cell_angle_beta 90.00
_cell_angle_gamma 90.00
_space_group_name_H-M_alt 'P m -3 m'
_space_group_IT_number 221
_space_group_name_Hall '-P 4 2 3'
loop_
_atom_site_label
_atom_site_type_symbol
_atom_site_fract_x
_atom_site_fract_y
_atom_site_fract_z
_atom_site_occupancy
Zr1 Zr 0.0000 0.0000 0.0000 1
Al1 Al 0.5000 0.5000 0.5000 1
Se1 Se 0.0000 0.5000 0.5000 1
```

# 5
This record from the Alexandria database describes crystalline ErTaIrOs at its relaxed geometry. The functional is PBE.

Summary:
- Energy relative to the elements: -0.372 eV per atom

The structure in CIF format:
```
data_ErTaIrOs
_chemical_formula_sum 'Er4 Ta4 Ir4 Os4'
_cell_length_a 6.5611
_cell_length_b 6.5611
_cell_length_c 6.5611
_cell_angle_alpha 90.00
_cell_angle_beta 90.00
_cell_angle_gamma 90.00
_space_group_name_H-M_alt 'F -4 3 m'
_space_group_IT_number 216
_space_group_name_Hall 'F -4 2 3'
loop_
_atom_site_label
_atom_site_type_symbol
_atom_site_fract_x
_atom_site_fract_y
_atom_site_fract_z
_atom_site_occupancy
Er1 Er 0.0000 0.0000 0.0000 1
Ta1 Ta 0.0000 0.0000 0.5000 1
Ir1 Ir 0.2500 0.2500 0.7500 1
Os1 Os 0.2500 0.2500 0.2500 1
```

# 6
This record from the Alexandria database describes crystalline SiTcSn2 at its relaxed geometry. The functional is PBE.

Summary:
- Energy relative to the elements, uncorrected: 80.5 kJ per mole of atoms

The structure in CIF format:
```
data_SiTcSn2
_chemical_formula_sum 'Si4 Tc4 Sn8'
_cell_length_a 6.2137
_cell_length_b 6.2137
_cell_length_c 11.7744
_cell_angle_alpha 90.00
_cell_angle_beta 90.00
_cell_angle_gamma 90.00
_space_group_name_H-M_alt 'I -4 2 d'
_space_group_IT_number 122
_space_group_name_Hall 'I -4 2bw'
loop_
_atom_site_label
_atom_site_type_symbol
_atom_site_fract_x
_atom_site_fract_y
_atom_site_fract_z
_atom_site_occupancy
Si1 Si 0.0000 0.0000 0.0000 1
Tc1 Tc 0.0000 0.0000 0.5000 1
Sn1 Sn 0.2492 0.2500 0.1250 1
```

# 7
This record from the Alexandria database describes crystalline Y3Ho6Er2Sc at its relaxed geometry. The functional is PBE.

Summary:
- Energy relative to the elements: 0.032 eV per atom

The structure in CIF format:
```
data_Y3Ho6Er2Sc
_chemical_formula_sum 'Y6 Ho12 Er4 Sc2'
_cell_length_a 6.0867
_cell_length_b 10.5302
_cell_length_c 11.6379
_cell_angle_alpha 90.00
_cell_angle_beta 100.01
_cell_angle_gamma 90.00
_space_group_name_H-M_alt 'C 1 2/m 1'
_space_group_IT_number 12
_space_group_name_Hall '-C 2y'
loop_
_atom_site_label
_atom_site_type_symbol
_atom_site_fract_x
_atom_site_fract_y
_atom_site_fract_z
_atom_site_occupancy
Y1 Y 0.0000 0.0000 0.0000 1
Y2 Y 0.0000 0.3335 0.0000 1
Ho1 Ho 0.2470 0.3344 0.7455 1
Ho2 Ho 0.2501 0.0000 0.7457 1
Er1 Er 0.0000 0.1666 0.5000 1
Sc1 Sc 0.0000 0.5000 0.5000 1
```

# 8
This record from the Alexandria database describes crystalline PrHoTlTe at its relaxed geometry. The functional is PBE.

Summary:
- Energy relative to the elements, uncorrected: -80.3 kJ per mole of atoms

The structure in CIF format:
```
data_PrHoTlTe
_chemical_formula_sum 'Pr3 Ho3 Tl3 Te3'
_cell_length_a 4.2660
_cell_length_b 4.2660
_cell_length_c 23.8710
_cell_angle_alpha 90.00
_cell_angle_beta 90.00
_cell_angle_gamma 120.00
_space_group_name_H-M_alt 'R 3 m'
_space_group_IT_number 160
_space_group_name_Hall 'R 3 -2"'
loop_
_atom_site_label
_atom_site_type_symbol
_atom_site_fract_x
_atom_site_fract_y
_atom_site_fract_z
_atom_site_occupancy
Pr1 Pr 0.0000 0.0000 0.0000 1
Ho1 Ho 0.0000 0.0000 0.5027 1
Tl1 Tl 0.0000 0.0000 0.7550 1
Te1 Te 0.0000 0.0000 0.2469 1
```

Values for magnetic moment, μB per cell, ordered as above
0.00; 4.86; 0.00; 0.78; 0.00; 4.63; 0.00; 0.00
Values for density of states at the Fermi level, states/eV/atom, ordered as above
0.8854; 0.8482; 0.3402; 0.9566; 0.8960; 0.8127; 1.4684; 0.5158